1.
Material: RhCNO2
Method: DFT, GGA-PBE
State: relaxed

Cell lengths 3.975, 3.975, 3.669 Å; angles 90.00, 90.00, 90.00 degrees
Element x y z (fractional)
Rh 0.000 0.000 0.000
C 0.500 0.500 0.500
N 0.000 0.000 0.500
O 0.000 0.500 0.000
O 0.500 0.000 0.000

Values from the calculation:
* energy relative to the elements, uncorrected: 878 kJ/mol of formula units
* space-group type: No. 123



2.
Material: AlAsIr2
Method: DFT, GGA-PBE
State: relaxed

Cell lengths 2.907, 2.907, 7.608 Å; angles 90.00, 90.00, 90.00 degrees
Element x y z (fractional)
Al 0.000 0.000 0.000
As 0.500 0.500 0.336
Ir 0.000 0.000 0.540
Ir 0.500 0.500 0.806

Values from the calculation:
* energy of formation: -0.125 eV per atom
* space-group type: No. 99
* energy relative to the lowest polymorph listed for this composition: 196.8 meV/atom



3.
Material: HoPu3Se6
Method: DFT, GGA-PBE
State: relaxed

Cell lengths 11.452, 4.122, 12.016 Å; angles 90.00, 108.16, 90.00 degrees
Element x y z (fractional)
Ho 0.043 0.250 0.190
Ho 0.957 0.750 0.810
Pu 0.157 0.250 0.580
Pu 0.319 0.750 0.998
Pu 0.427 0.250 0.335
Pu 0.573 0.750 0.665
Pu 0.681 0.250 0.002
Pu 0.843 0.750 0.420
Se 0.086 0.750 0.401
Se 0.110 0.250 0.962
Se 0.187 0.750 0.748
Se 0.248 0.750 0.220
Se 0.400 0.250 0.565
Se 0.485 0.250 0.118
Se 0.515 0.750 0.882
Se 0.600 0.750 0.435
Se 0.752 0.250 0.780
Se 0.813 0.250 0.252
Se 0.890 0.750 0.038
Se 0.914 0.250 0.599

Values from the calculation:
* energy relative to the elements, uncorrected: -1449 kJ/mol of formula units
* space-group type: No. 11



4.
Material: NaTl2Te2
Method: DFT, GGA-PBE
State: relaxed

Cell lengths 11.996, 5.103, 7.089 Å; angles 90.00, 126.13, 90.00 degrees
Element x y z (fractional)
Na 0.000 0.000 0.000
Na 0.500 0.500 0.000
Tl 0.190 0.000 0.690
Tl 0.310 0.500 0.310
Tl 0.690 0.500 0.690
Tl 0.810 0.000 0.310
Te 0.000 0.500 0.260
Te 0.000 0.500 0.740
Te 0.500 0.000 0.260
Te 0.500 0.000 0.740

Values from the calculation:
* energy relative to the elements, uncorrected: -183 kJ/mol of formula units
* space-group type: No. 12
* energy relative to the lowest polymorph listed for this composition: 0.0 meV/atom



5.
Material: TmSc2Pd
Method: DFT, GGA-PBE
State: relaxed

Cell lengths 7.030, 7.030, 7.030 Å; angles 90.00, 90.00, 90.00 degrees
Element x y z (fractional)
Tm 0.000 0.000 0.000
Tm 0.000 0.500 0.500
Tm 0.500 0.000 0.500
Tm 0.500 0.500 0.000
Sc 0.250 0.250 0.250
Sc 0.250 0.250 0.750
Sc 0.250 0.750 0.250
Sc 0.250 0.750 0.750
Sc 0.750 0.250 0.250
Sc 0.750 0.250 0.750
Sc 0.750 0.750 0.250
Sc 0.750 0.750 0.750
Pd 0.000 0.000 0.500
Pd 0.000 0.500 0.000
Pd 0.500 0.000 0.000
Pd 0.500 0.500 0.500

Values from the calculation:
* energy of formation: -0.163 eV per atom
* space-group type: No. 225
* energy relative to the lowest polymorph listed for this composition: 301.5 meV/atom



6.
Material: CsRbHgCl
Method: DFT, GGA-PBE
State: relaxed

Cell lengths 8.839, 8.839, 8.839 Å; angles 90.00, 90.00, 90.00 degrees
Element x y z (fractional)
Cs 0.000 0.000 0.000
Cs 0.000 0.500 0.500
Cs 0.500 0.000 0.500
Cs 0.500 0.500 0.000
Rb 0.000 0.000 0.500
Rb 0.000 0.500 0.000
Rb 0.500 0.000 0.000
Rb 0.500 0.500 0.500
Hg 0.250 0.250 0.250
Hg 0.250 0.750 0.750
Hg 0.750 0.250 0.750
Hg 0.750 0.750 0.250
Cl 0.250 0.250 0.750
Cl 0.250 0.750 0.250
Cl 0.750 0.250 0.250
Cl 0.750 0.750 0.750

Values from the calculation:
* energy relative to the elements, uncorrected: -326 kJ/mol of formula units
* space-group type: No. 216